1.
TlCdRh2: relaxed, PBE.

a = 5.1618 Å, b = 5.1618 Å, c = 5.1618 Å
α = 133.79°, β = 133.79°, γ = 67.42°
With the nearest neighbours (Å) after each atom.
Fractional positions:
Rh 0.2500 0.7500 0.5000  4 Cd 2.86, 4 Rh 2.95, 4 Tl 2.95
Rh 0.0000 0.0000 0.0000  4 Tl 2.86, 4 Cd 2.95, 4 Rh 2.95
Cd 0.7500 0.2500 0.5000  8 Rh 2.86-2.95, 4 Tl 2.95
Tl 0.5000 0.5000 0.0000  8 Rh 2.86-2.95, 4 Cd 2.95

## Properties
- Fermi-level density of states: 4.292 states/eV per cell
- Energy above the lowest structure with this stoichiometry: 0.203 eV/atom
- Space group: I-4m2

=====

2.
Mg3Zn5Ag2: relaxed, PBE.

a = 8.6340 Å, b = 8.0949 Å, c = 8.1133 Å
α = 124.79°, β = 131.72°, γ = 71.91°
With the nearest neighbours (Å) after each atom.
Fractional positions:
Ag 0.9396 0.7075 0.7105  5 Zn 2.76-2.84, 5 Mg 2.84-3.04
Ag 0.0604 0.2925 0.2895  5 Zn 2.76-2.84, 5 Mg 2.84-3.04
Ag 0.3870 0.9615 0.7217  5 Zn 2.71-2.95, 4 Mg 2.82-2.93
Ag 0.6130 0.0385 0.2783  5 Zn 2.71-2.95, 4 Mg 2.82-2.93
Mg 0.2694 0.9400 0.2596  4 Zn 2.82-3.10, 3 Ag 2.84-3.07, 1 Mg 3.07
Mg 0.7975 0.8370 0.0198  5 Zn 2.79-2.98, 3 Ag 2.92-3.03
Mg 0.6798 0.3107 0.2140  6 Zn 2.80-3.08, 4 Ag 2.82-3.04
Mg 0.3202 0.6893 0.7860  6 Zn 2.80-3.08, 4 Ag 2.82-3.04
Mg 0.7306 0.0600 0.7404  4 Zn 2.82-3.10, 3 Ag 2.84-3.07, 1 Mg 3.07
Mg 0.2025 0.1630 0.9802  5 Zn 2.79-2.98, 3 Ag 2.92-3.03
Zn 0.7642 0.4853 0.0253  6 Zn 2.58-2.72, 1 Ag 2.76, 1 Mg 2.82
Zn 0.4715 0.3579 0.5163  4 Zn 2.54-2.72, 2 Ag 2.72-2.76, 1 Mg 2.79
Zn 0.5285 0.6421 0.4837  4 Zn 2.54-2.72, 2 Ag 2.72-2.76, 1 Mg 2.79
Zn 0.2358 0.5147 0.9747  6 Zn 2.58-2.72, 1 Ag 2.76, 1 Mg 2.82
Zn 0.0384 0.1652 0.5288  4 Zn 2.61-2.67, 2 Ag 2.79-2.80, 2 Mg 2.81-2.85
Zn 0.1463 0.5857 0.2651  5 Zn 2.54-2.78, 1 Ag 2.84
Zn 0.4026 0.3054 0.7486  4 Zn 2.58-2.61, 2 Ag 2.71-2.78, 2 Mg 2.80-2.84
Zn 0.9616 0.8348 0.4712  4 Zn 2.61-2.67, 2 Ag 2.79-2.80, 2 Mg 2.81-2.85
Zn 0.5974 0.6946 0.2514  4 Zn 2.58-2.61, 2 Ag 2.71-2.78, 2 Mg 2.80-2.84
Zn 0.8537 0.4143 0.7349  5 Zn 2.54-2.78, 1 Ag 2.84

## Properties
- Fermi-level density of states: 5.393 states/eV per cell
- Calculated total energy: -36.1 eV per cell
- Space group: P-1

=====

3.
Ta2ZnAs: relaxed, PBE.

a = 5.1315 Å, b = 5.1315 Å, c = 4.6002 Å
α = 75.90°, β = 75.90°, γ = 34.77°
With the nearest neighbours (Å) after each atom.
Fractional positions:
Zn 0.4845 0.4845 0.4492  7 Ta 2.72-2.80, 2 As 2.83
As 0.7610 0.7610 0.8049  7 Ta 2.71-2.81, 2 Zn 2.83
Ta 0.2290 0.2290 0.3158  3 Zn 2.72-2.78, 4 As 2.76-2.81, 2 Ta 2.99-3.01
Ta 0.0255 0.0255 0.9301  3 As 2.71-2.79, 4 Zn 2.78-2.80, 2 Ta 2.99-3.01

## Properties
- Fermi-level density of states: 2.363 states/eV per cell
- Energy above the lowest structure with this stoichiometry: 0.061 eV/atom
- Space group: Cm

=====

4.
Pa2BiH: relaxed, PBE.

a = 4.6457 Å, b = 6.7619 Å, c = 10.5879 Å
α = 90.00°, β = 90.00°, γ = 90.00°
With the nearest neighbours (Å) after each atom.
Fractional positions:
Bi 0.7500 0.6492 0.6024  1 H 2.77
Bi 0.2500 0.3508 0.3976  1 H 2.77
Bi 0.7500 0.1492 0.8976  1 H 2.77
Bi 0.2500 0.8508 0.1024  1 H 2.77
H 0.7500 0.4096 0.0998  3 Pa 2.19-2.36
H 0.2500 0.0904 0.5998  3 Pa 2.19-2.36
H 0.2500 0.5904 0.9002  3 Pa 2.19-2.36
H 0.7500 0.9096 0.4002  3 Pa 2.19-2.36
Pa 0.7500 0.1133 0.2393  1 H 2.19
Pa 0.2500 0.8570 0.4214  3 H 2.36-2.46
Pa 0.2500 0.3570 0.0786  3 H 2.36-2.46
Pa 0.7500 0.6430 0.9214  3 H 2.36-2.46
Pa 0.7500 0.1430 0.5786  3 H 2.36-2.46
Pa 0.2500 0.3867 0.7393  1 H 2.19
Pa 0.7500 0.6133 0.2607  1 H 2.19
Pa 0.2500 0.8867 0.7607  1 H 2.19

## Properties
- Fermi-level density of states: 28.333 states/eV per cell
- Energy above the lowest structure with this stoichiometry: 0.000 eV/atom
- Space group: Pnma

=====

5.
In3TeO: relaxed, PBE.

a = 5.0005 Å, b = 5.0005 Å, c = 5.0005 Å
α = 90.00°, β = 90.00°, γ = 90.00°
With the nearest neighbours (Å) after each atom.
Fractional positions:
In 0.0000 0.0000 0.5000  2 O 2.50
In 0.5000 0.0000 0.0000  2 O 2.50
In 0.0000 0.5000 0.0000  2 O 2.50
O 0.0000 0.0000 0.0000  6 In 2.50
Te 0.5000 0.5000 0.5000  12 In 3.54

## Properties
- Uncorrected formation energy: -0.32 eV per atom
- Fermi-level density of states: 3.763 states/eV per cell
- Energy above the lowest structure with this stoichiometry: 0.000 eV/atom
- Space group: Pm-3m

=====

6.
TlHgAu3: relaxed, PBE.

a = 5.3491 Å, b = 5.3491 Å, c = 5.3491 Å
α = 90.00°, β = 90.00°, γ = 90.00°
With the nearest neighbours (Å) after each atom.
Fractional positions:
Tl 0.0000 0.0000 0.0000  6 Au 2.67
Au 0.0000 0.5000 0.0000  2 Tl 2.67
Au 0.5000 0.0000 0.0000  2 Tl 2.67
Au 0.0000 0.0000 0.5000  2 Tl 2.67
Hg 0.5000 0.5000 0.5000  12 Au 3.78

## Properties
- Fermi-level density of states: 2.169 states/eV per cell
- Energy above the lowest structure with this stoichiometry: 0.592 eV/atom
- Space group: Pm-3m

=====

7.
PuBH: relaxed, PBE.

a = 3.7131 Å, b = 3.1376 Å, c = 8.3400 Å
α = 90.06°, β = 48.19°, γ = 90.00°
With the nearest neighbours (Å) after each atom.
Fractional positions:
B 0.2037 0.7910 0.7021  1 H 1.39
B 0.0411 0.2912 0.8102  1 H 1.39
H 0.5374 0.7904 0.4792  1 B 1.39
H 0.7075 0.2918 0.0331  1 B 1.39
Pu 0.0030 0.2905 0.5020  4 H 2.43-2.44, 2 B 2.67
Pu 0.2419 0.7918 0.0103  4 H 2.43-2.44, 2 B 2.67

## Properties
- Fermi-level density of states: 11.842 states/eV per cell
- Energy above the lowest structure with this stoichiometry: 0.000 eV/atom
- Space group: P-1

=====

8.
NiAsSe2: relaxed, PBE.

a = 8.1352 Å, b = 8.1352 Å, c = 8.1352 Å
α = 24.85°, β = 24.85°, γ = 24.85°
With the nearest neighbours (Å) after each atom.
Fractional positions:
Se 0.8880 0.8880 0.8880  3 Ni 2.40, 1 As 2.65
Se 0.1120 0.1120 0.1120  3 Ni 2.40, 1 As 2.65
As 0.0000 0.0000 0.0000  2 Se 2.65
Ni 0.5000 0.5000 0.5000  6 Se 2.40

## Properties
- Uncorrected formation energy: 0.01 eV per atom
- Fermi-level density of states: 2.775 states/eV per cell
- Space group: R-3m